Compound: YEr4Ag5
Source: the Alexandria database
Functional: PBE
Structure: relaxed

* symmetry: No. 123
* energy of formation: -0.336 eV per atom

a = 3.579 Å, b = 3.579 Å, c = 18.372 Å
α = 90.00°, β = 90.00°, γ = 90.00°
Sites, in units of the cell vectors:
Y 0.000 0.000 0.000
Er 0.000 0.000 0.201
Er 0.000 0.000 0.400
Er 0.000 0.000 0.600
Er 0.000 0.000 0.799
Ag 0.500 0.500 0.103
Ag 0.500 0.500 0.301
Ag 0.500 0.500 0.500
Ag 0.500 0.500 0.699
Ag 0.500 0.500 0.897

=====

Compound: RbCdSnHg
Source: the Alexandria database
Functional: PBE
Structure: relaxed

* symmetry: No. 216
* energy of formation: -0.019 eV per atom

a = 5.558 Å, b = 5.558 Å, c = 5.558 Å
α = 60.00°, β = 60.00°, γ = 60.00°
Sites, in units of the cell vectors:
Rb 0.000 0.000 0.000
Cd 0.250 0.250 0.250
Sn 0.500 0.500 0.500
Hg 0.750 0.750 0.750

=====

Compound: Co2TcBr
Source: the Alexandria database
Functional: PBE
Structure: relaxed

* symmetry: No. 65
* uncorrected formation energy: 0.74 eV per atom

a = 2.827 Å, b = 2.827 Å, c = 8.374 Å
α = 90.00°, β = 90.00°, γ = 115.14°
Sites, in units of the cell vectors:
Co 0.000 0.000 0.230
Co 0.000 0.000 0.770
Tc 0.500 0.500 0.000
Br 0.500 0.500 0.500

=====

Sequential volume output: 23.54 30.35 15.15 Å³ per atom
Sequential electronic total energy output: -42.3 -6.3 -23.3 eV for the cell shown
Sequential mass density output: 9.2 7.1 8.1 Mg/m³